# 1
Pm11Ho9Er4: optimized geometry, PBE.

Results
spin magnetization	0.00	μB per formula unit
energy relative to the elements	5	kJ/mol of atoms

a = 3.6395 Å, b = 15.3327 Å, c = 15.3327 Å
α = 113.17°, β = 90.00°, γ = 90.00°
With the nearest neighbours (Å) after each atom.
Element x y z (fractional)
Ho1 0.5000 0.1656 0.6303  3 Ho 3.45-3.64, 1 Er 3.47, 8 Pm 3.53-3.72
Ho2 0.5000 0.2141 0.0685  1 Er 3.48, 8 Pm 3.53-3.75, 3 Ho 3.64-3.73
Pm1 0.0000 0.8395 0.1605  4 Pm 3.64-3.83, 8 Ho 3.72-3.75
Er1 0.5000 0.5553 0.7588  6 Pm 3.29-3.38, 2 Ho 3.47-3.48, 2 Er 3.64
Er2 0.5000 0.2412 0.4447  6 Pm 3.29-3.38, 2 Ho 3.47-3.48, 2 Er 3.64
Pm2 0.0000 0.5944 0.9567  2 Er 3.38, 6 Ho 3.53-3.69, 3 Pm 3.63-3.64
Pm3 0.0000 0.7072 0.7072  4 Er 3.29, 2 Pm 3.64, 4 Ho 3.65
Pm4 0.0000 0.2928 0.2928  4 Er 3.29, 2 Pm 3.64, 4 Ho 3.65
Pm5 0.0000 0.9567 0.5944  2 Er 3.38, 6 Ho 3.53-3.69, 3 Pm 3.63-3.64
Er3 0.5000 0.7588 0.5553  6 Pm 3.29-3.38, 2 Ho 3.47-3.48, 2 Er 3.64
Pm6 0.0000 0.0000 0.0000  8 Ho 3.53, 2 Pm 3.64
Ho3 0.5000 0.9315 0.7859  1 Er 3.48, 8 Pm 3.53-3.75, 3 Ho 3.64-3.73
Pm7 0.0000 0.1605 0.8395  4 Pm 3.64-3.83, 8 Ho 3.72-3.75
Ho4 0.5000 0.8344 0.3697  3 Ho 3.45-3.64, 1 Er 3.47, 8 Pm 3.53-3.72
Pm8 0.0000 0.0433 0.4056  2 Er 3.38, 6 Ho 3.53-3.69, 3 Pm 3.63-3.64
Ho5 0.5000 0.6303 0.1656  3 Ho 3.45-3.64, 1 Er 3.47, 8 Pm 3.53-3.72
Ho6 0.5000 0.0685 0.2141  1 Er 3.48, 8 Pm 3.53-3.75, 3 Ho 3.64-3.73
Pm9 0.0000 0.4056 0.0433  2 Er 3.38, 6 Ho 3.53-3.69, 3 Pm 3.63-3.64
Pm10 0.0000 0.6315 0.3685  4 Er 3.31, 4 Ho 3.60, 2 Pm 3.64
Er4 0.5000 0.4447 0.2412  6 Pm 3.29-3.38, 2 Ho 3.47-3.48, 2 Er 3.64
Pm11 0.0000 0.3685 0.6315  4 Er 3.31, 4 Ho 3.60, 2 Pm 3.64
Ho7 0.5000 0.5000 0.5000  2 Ho 3.64, 4 Er 3.72, 8 Pm 3.83-3.94
Ho8 0.5000 0.7859 0.9315  1 Er 3.48, 8 Pm 3.53-3.75, 3 Ho 3.64-3.73
Ho9 0.5000 0.3697 0.8344  3 Ho 3.45-3.64, 1 Er 3.47, 8 Pm 3.53-3.72



# 2
BaSc2Si: optimized geometry, PBE.

Results
spin magnetization	0.00	μB per formula unit
E_tot	-20.34	eV per cell

a = 3.3994 Å, b = 3.3994 Å, c = 9.4611 Å
α = 90.00°, β = 90.00°, γ = 90.00°
With the nearest neighbours (Å) after each atom.
Element x y z (fractional)
Sc1 0.0000 0.0000 0.0852  4 Si 2.87, 1 Sc 3.12
Ba1 0.5000 0.5000 0.7500  4 Ba 3.40
Sc2 0.0000 0.0000 0.4148  4 Si 2.87, 1 Sc 3.12
Si1 0.5000 0.5000 0.2500  8 Sc 2.87



# 3
Mg3HgI: optimized geometry, PBE.

Results
spin magnetization	0.00	μB per formula unit
energy relative to the lowest polymorph listed for this composition	0.00	eV per formula unit

a = 5.3834 Å, b = 5.3834 Å, c = 5.3834 Å
α = 90.00°, β = 90.00°, γ = 90.00°
With the nearest neighbours (Å) after each atom.
Element x y z (fractional)
I1 0.5000 0.5000 0.5000  12 Mg 3.81
Mg1 0.0000 0.0000 0.5000  2 Hg 2.69
Mg2 0.0000 0.5000 0.0000  2 Hg 2.69
Mg3 0.5000 0.0000 0.0000  2 Hg 2.69
Hg1 0.0000 0.0000 0.0000  6 Mg 2.69